1.
# CaEuSbBr, optimized geometry, DFT PBE-GGA
data_CaEuSbBr
_cell_length_a 7.8152
_cell_length_b 7.8152
_cell_length_c 7.8152
_cell_angle_alpha 90.00
_cell_angle_beta 90.00
_cell_angle_gamma 90.00
_space_group_name_H-M_alt 'F -4 3 m'
_space_group_IT_number 216
_space_group_name_Hall 'F -4 2 3'
loop_
_atom_site_label
_atom_site_type_symbol
_atom_site_fract_x
_atom_site_fract_y
_atom_site_fract_z
Ca1 Ca 0.0000 0.0000 0.0000
Eu1 Eu 0.0000 0.0000 0.5000
Sb1 Sb 0.2500 0.2500 0.7500
Br1 Br 0.2500 0.2500 0.2500
# Final energy ... -5.771 eV per atom
# ΔE_f (raw) ... -120.91 kJ/mol of atoms

---

2.
# CaBrF, optimized geometry, DFT PBE-GGA
data_CaBrF
_cell_length_a 10.5598
_cell_length_b 4.0659
_cell_length_c 7.0230
_cell_angle_alpha 90.00
_cell_angle_beta 108.34
_cell_angle_gamma 90.00
_space_group_name_H-M_alt 'C 1 2/m 1'
_space_group_IT_number 12
_space_group_name_Hall '-C 2y'
loop_
_atom_site_label
_atom_site_type_symbol
_atom_site_fract_x
_atom_site_fract_y
_atom_site_fract_z
Ca1 Ca 0.2067 0.0000 0.2736
Br1 Br 0.1018 0.0000 0.8253
F1 F 0.1726 0.5000 0.3920
# Final energy ... -4.807 eV per atom
# ΔE_f (raw) ... -285.48 kJ/mol of atoms